A plane-wave DFT calculation with GGA-PBE was carried out for a geometry-optimized RbTlHg2Te structure.

The energy relative to the lowest polymorph listed for this composition is 0.000 eV per atom. The value obtained for the raw total energy is -1.756 eV per atom. The calculation puts the total magnetization at 0.0 μB per cell.

The structure belongs to space group Imm2 (No. 44); the cell edges are 4.733, 5.106 and 15.834 Å and the angles 90.00°, 90.00° and 90.00°. The asymmetric unit holds Rb at (0.000, 0.000, 0.000), Tl at (0.000, 0.500, 0.774), Hg at (0.000, 0.000, 0.622), Hg at (0.000, 0.500, 0.260) and Te at (0.000, 0.000, 0.417).